VASP calculation (PBE) on a geometry-optimized ScBTeN2 structure.

ΔE_f (raw) ... 1120 meV per atom
Energy relative to the lowest polymorph listed for this composition ... 0 meV per atom

Cell lengths 3.746, 3.746, 4.918 Å; angles 90.00, 90.00, 90.00 degrees
Element x y z (fractional)
1 Sc 0.000 0.000 0.000
2 B 0.500 0.500 0.500
3 Te 0.500 0.500 0.000
4 N 0.000 0.500 0.500
5 N 0.500 0.000 0.500